Compound: MoPd3Rh
Source: Alexandria via LeMat-Bulk
Functional: PBE
Structure: optimized geometry

## Properties
Total moment   0.0 μB per cell
Fermi-level density of states   6.19 states/eV/f.u.
ΔE to the lowest computed polymorph   1.378 eV/atom

Cell lengths 4.7049, 4.7049, 4.7049 Å; angles 90.00, 90.00, 90.00 degrees
Sites, in units of the cell vectors:
Mo (0.0000, 0.0000, 0.0000)
Pd (0.0000, 0.0000, 0.5000)
Pd (0.0000, 0.5000, 0.0000)
Pd (0.5000, 0.0000, 0.0000)
Rh (0.5000, 0.5000, 0.5000)